Entry 1:
Computed, not measured: MgMn6O5F7 after structural relaxation at the PBE with a Hubbard U level of DFT.

Output
calculated volume	12.4	A^3/atom
energy above the most stable polymorph in this dataset	47.6	kJ/mol of formula units

a = 5.8861 Å, b = 6.0699 Å, c = 7.4060 Å
α = 69.64°, β = 73.93°, γ = 77.88°
Space group P1 (No. 1)
One atom of each set of equivalent atoms:
Mg 0.0000 0.0000 0.0000 [1 per cell]
Mn 0.0172 0.5026 0.9866 [1 per cell]
Mn 0.0410 0.4742 0.4894 [1 per cell]
Mn 0.3552 0.8749 0.6521 [1 per cell]
Mn 0.3939 0.8141 0.1554 [1 per cell]
Mn 0.6222 0.2133 0.8233 [1 per cell]
Mn 0.6355 0.1764 0.3241 [1 per cell]
O 0.1152 0.6632 0.1838 [1 per cell]
O 0.2972 0.2078 0.4750 [1 per cell]
O 0.3771 0.9952 0.8804 [1 per cell]
O 0.6259 0.0396 0.1021 [1 per cell]
O 0.9173 0.3399 0.7966 [1 per cell]
F 0.0169 0.1565 0.1881 [1 per cell]
F 0.2975 0.7242 0.4508 [1 per cell]
F 0.3741 0.5158 0.8286 [1 per cell]
F 0.6572 0.5310 0.1368 [1 per cell]
F 0.7192 0.8180 0.5070 [1 per cell]
F 0.7227 0.3022 0.5288 [1 per cell]
F 0.9740 0.8578 0.8054 [1 per cell]

***

Entry 2:
Computed, not measured: MgMn6O5F7 after structural relaxation at the PBE with a Hubbard U level of DFT.

Output
calculated volume	12.1	A^3/atom
energy above the most stable polymorph in this dataset	0.0	kJ/mol of formula units

a = 5.5011 Å, b = 5.7173 Å, c = 7.9252 Å
α = 101.08°, β = 94.66°, γ = 108.44°
Space group P1 (No. 1)
One atom of each set of equivalent atoms:
Mg 0.0000 0.0000 0.0000 [1 per cell]
Mn 0.1550 0.5771 0.3498 [1 per cell]
Mn 0.3626 0.5788 0.0268 [1 per cell]
Mn 0.4076 0.1779 0.3543 [1 per cell]
Mn 0.4150 0.9653 0.7328 [1 per cell]
Mn 0.8024 0.9246 0.4454 [1 per cell]
Mn 0.8773 0.5174 0.6952 [1 per cell]
O 0.1106 0.8015 0.5506 [1 per cell]
O 0.2104 0.7701 0.8835 [1 per cell]
O 0.2331 0.3388 0.1743 [1 per cell]
O 0.4446 0.8151 0.2576 [1 per cell]
O 0.6123 0.1620 0.5851 [1 per cell]
F 0.1158 0.3025 0.4986 [1 per cell]
F 0.2212 0.2461 0.8456 [1 per cell]
F 0.5831 0.6712 0.5855 [1 per cell]
F 0.7082 0.6518 0.9208 [1 per cell]
F 0.7184 0.1173 0.9158 [1 per cell]
F 0.7657 0.4097 0.2995 [1 per cell]
F 0.9920 0.8905 0.2250 [1 per cell]

***

Entry 3:
Computed, not measured: MgMn8O13F3 after structural relaxation at the PBE with a Hubbard U level of DFT.

Output
calculated volume	11.0	A^3/atom
energy above the most stable polymorph in this dataset	0.0	kJ/mol of formula units

a = 5.7850 Å, b = 6.5517 Å, c = 7.2972 Å
α = 92.48°, β = 96.90°, γ = 92.57°
Space group P1 (No. 1)
One atom of each set of equivalent atoms:
Mg 0.0000 0.0000 0.0000 [1 per cell]
Mn 0.0323 0.7307 0.6828 [1 per cell]
Mn 0.2459 0.5045 0.0046 [1 per cell]
Mn 0.4296 0.0322 0.4810 [1 per cell]
Mn 0.4623 0.5247 0.4762 [1 per cell]
Mn 0.4864 0.0170 0.9916 [1 per cell]
Mn 0.7437 0.2863 0.7655 [1 per cell]
Mn 0.7444 0.7421 0.2361 [1 per cell]
Mn 0.9259 0.3007 0.2913 [1 per cell]
O 0.0131 0.4689 0.7868 [1 per cell]
O 0.2193 0.3163 0.4435 [1 per cell]
O 0.2271 0.7957 0.9305 [1 per cell]
O 0.2564 0.2150 0.0360 [1 per cell]
O 0.2849 0.7632 0.5096 [1 per cell]
O 0.4889 0.0870 0.7423 [1 per cell]
O 0.4988 0.5408 0.2178 [1 per cell]
O 0.5238 0.9558 0.2473 [1 per cell]
O 0.6689 0.2855 0.4890 [1 per cell]
O 0.7118 0.8093 0.9872 [1 per cell]
O 0.7538 0.2140 0.0297 [1 per cell]
O 0.7550 0.7031 0.4992 [1 per cell]
O 0.9802 0.5579 0.1957 [1 per cell]
F 0.4883 0.5086 0.7446 [1 per cell]
F 0.9623 0.0261 0.7198 [1 per cell]
F 0.9884 0.9810 0.2785 [1 per cell]

***

Entry 4:
Computed, not measured: MgMn8O13F3 after structural relaxation at the PBE with a Hubbard U level of DFT.

Output
calculated volume	10.9	A^3/atom
energy above the most stable polymorph in this dataset	83.1	kJ/mol of formula units

a = 5.8722 Å, b = 6.6272 Å, c = 7.0453 Å
α = 93.67°, β = 95.47°, γ = 90.24°
Space group P1 (No. 1)
One atom of each set of equivalent atoms:
Mg 0.0000 0.0000 0.0000 [1 per cell]
Mn 0.2406 0.4980 0.9777 [1 per cell]
Mn 0.2656 0.0239 0.4751 [1 per cell]
Mn 0.4474 0.0142 0.9712 [1 per cell]
Mn 0.4661 0.5007 0.4746 [1 per cell]
Mn 0.7226 0.7547 0.2460 [1 per cell]
Mn 0.7413 0.2538 0.7160 [1 per cell]
Mn 0.9395 0.2985 0.2807 [1 per cell]
Mn 0.9541 0.7311 0.6968 [1 per cell]
O 0.2005 0.7765 0.9126 [1 per cell]
O 0.2251 0.3055 0.4438 [1 per cell]
O 0.2316 0.2206 0.0323 [1 per cell]
O 0.4849 0.5483 0.2011 [1 per cell]
O 0.4875 0.0583 0.7028 [1 per cell]
O 0.4894 0.9567 0.2353 [1 per cell]
O 0.5185 0.4628 0.7383 [1 per cell]
O 0.6908 0.2987 0.4562 [1 per cell]
O 0.7003 0.7115 0.5016 [1 per cell]
O 0.9581 0.0281 0.7057 [1 per cell]
O 0.9585 0.5597 0.2072 [1 per cell]
O 0.9797 0.9956 0.2854 [1 per cell]
O 0.9874 0.4562 0.7680 [1 per cell]
F 0.2415 0.7265 0.5150 [1 per cell]
F 0.7236 0.8120 0.9663 [1 per cell]
F 0.7526 0.2153 0.0064 [1 per cell]

***

Entry 5:
Computed, not measured: MgMn8O13F3 after structural relaxation at the PBE with a Hubbard U level of DFT.

Output
calculated volume	10.8	A^3/atom
energy above the most stable polymorph in this dataset	83.5	kJ/mol of formula units

a = 5.6835 Å, b = 6.8542 Å, c = 6.9708 Å
α = 93.83°, β = 93.32°, γ = 90.57°
Space group P1 (No. 1)
One atom of each set of equivalent atoms:
Mg 0.0000 0.0000 0.0000 [1 per cell]
Mn 0.2250 0.0105 0.4937 [1 per cell]
Mn 0.2340 0.5061 0.9928 [1 per cell]
Mn 0.3916 0.5079 0.4913 [1 per cell]
Mn 0.4835 0.9800 0.9660 [1 per cell]
Mn 0.7204 0.2626 0.7500 [1 per cell]
Mn 0.7307 0.7373 0.2267 [1 per cell]
Mn 0.9120 0.2757 0.2647 [1 per cell]
Mn 0.9486 0.7389 0.7209 [1 per cell]
O 0.1852 0.7320 0.5333 [1 per cell]
O 0.1871 0.2835 0.4401 [1 per cell]
O 0.2196 0.7894 0.9227 [1 per cell]
O 0.4628 0.5399 0.2149 [1 per cell]
O 0.4651 0.4546 0.7656 [1 per cell]
O 0.4817 0.0522 0.7041 [1 per cell]
O 0.4977 0.9364 0.2313 [1 per cell]
O 0.7320 0.1933 0.0123 [1 per cell]
O 0.7353 0.7978 0.9430 [1 per cell]
O 0.9621 0.0285 0.7033 [1 per cell]
O 0.9712 0.5317 0.1880 [1 per cell]
O 0.9706 0.9846 0.2834 [1 per cell]
O 0.9763 0.4674 0.7855 [1 per cell]
F 0.2476 0.1975 0.0272 [1 per cell]
F 0.6774 0.3043 0.4747 [1 per cell]
F 0.6908 0.6965 0.5191 [1 per cell]

***

Entry 6:
Computed, not measured: MgMn8O13F3 after structural relaxation at the PBE with a Hubbard U level of DFT.

Output
calculated volume	10.8	A^3/atom
energy above the most stable polymorph in this dataset	11.8	kJ/mol of formula units

a = 5.7602 Å, b = 6.7034 Å, c = 7.0661 Å
α = 94.07°, β = 95.27°, γ = 90.00°
Space group P1 (No. 1)
One atom of each set of equivalent atoms:
Mg 0.0000 0.0000 0.0000 [1 per cell]
Mn 0.0251 0.2809 0.3081 [1 per cell]
Mn 0.0771 0.7113 0.7209 [1 per cell]
Mn 0.2334 0.2516 0.7628 [1 per cell]
Mn 0.2806 0.7280 0.2591 [1 per cell]
Mn 0.5202 0.9975 0.0373 [1 per cell]
Mn 0.5535 0.4847 0.5074 [1 per cell]
Mn 0.7352 0.9799 0.5211 [1 per cell]
Mn 0.7656 0.5159 0.0260 [1 per cell]
O 0.0120 0.0009 0.7105 [1 per cell]
O 0.0209 0.5481 0.2240 [1 per cell]
O 0.0284 0.4639 0.8177 [1 per cell]
O 0.2676 0.7968 0.9904 [1 per cell]
O 0.2741 0.1908 0.0307 [1 per cell]
O 0.2795 0.3002 0.5004 [1 per cell]
O 0.3240 0.6956 0.5250 [1 per cell]
O 0.5086 0.9427 0.2937 [1 per cell]
O 0.5110 0.5320 0.2439 [1 per cell]
O 0.7505 0.7948 0.9822 [1 per cell]
O 0.7709 0.2638 0.4823 [1 per cell]
O 0.7871 0.2212 0.0833 [1 per cell]
O 0.7917 0.6947 0.5514 [1 per cell]
F 0.0422 0.9623 0.2934 [1 per cell]
F 0.5082 0.0491 0.7572 [1 per cell]
F 0.5365 0.4567 0.7962 [1 per cell]

***

Entry 7:
Computed, not measured: MgMnOF2 after structural relaxation at the PBE with a Hubbard U level of DFT.

Output
calculated volume	11.7	A^3/atom
energy above the most stable polymorph in this dataset	0.0	kJ/mol of formula units

a = 3.7326 Å, b = 3.7326 Å, c = 4.1910 Å
α = 90.00°, β = 90.00°, γ = 90.00°
Space group P4/mmm (No. 123)
One atom of each set of equivalent atoms:
Mg 0.0000 0.0000 0.0000 [1 per cell]
Mn 0.5000 0.5000 0.5000 [1 per cell]
O 0.0000 0.0000 0.5000 [1 per cell]
F 0.0000 0.5000 0.0000 [2 per cell]

***

Entry 8:
Computed, not measured: MgMn2PbF8 after structural relaxation at the PBE with a Hubbard U level of DFT.

Output
calculated volume	14.7	A^3/atom
total DFT energy (no corrections)	-5.722	eV/atom

a = 5.0454 Å, b = 6.9143 Å, c = 5.0496 Å
α = 90.00°, β = 91.64°, γ = 90.00°
Space group P2/m (No. 10)
One atom of each set of equivalent atoms:
Mg 0.0000 0.0000 0.0000 [1 per cell]
Mn 0.5000 0.2327 0.5000 [2 per cell]
Pb 0.0000 0.5000 0.0000 [1 per cell]
F 0.2021 0.2092 0.1973 [4 per cell]
F 0.2906 0.0000 0.7054 [2 per cell]
F 0.3263 0.5000 0.6661 [2 per cell]